PBE-GGA NaTl4Sb, relaxed; crystal system = orthorhombic; E above lowest polymorph = 0 meV per atom; uncorrected formation energy = -0.5 eV/f.u.
1.0
2.415 -7.084 0.000
2.415 7.084 0.000
0.000 0.000 10.457
Na Tl Sb
2 8 2
Direct
0.168 0.832 0.500
0.832 0.168 0.000
0.009 0.991 0.250
0.171 0.829 0.998
0.330 0.670 0.248
0.500 0.500 0.004
0.500 0.500 0.504
0.670 0.330 0.748
0.829 0.171 0.498
0.991 0.009 0.750
0.328 0.672 0.754
0.672 0.328 0.254